(1)
A geometry-optimized Mo2OsAu structure. Source: Alexandria via LeMat-Bulk, functional PBE.

## Properties
- total moment (μB per cell) = 0.00
- total DFT energy (no corrections) (eV for the cell shown) = -35.68
- space-group type = Pmmm (47)
- DFT formation energy (eV per formula unit) = 0.487
- excess energy over the best structure of this formula in the dataset (eV per atom) = 0.006

Structure (POSCAR):
```
Mo2OsAu
1.0
2.8215 0.0000 0.0000
0.0000 3.9820 0.0000
0.0000 0.0000 5.6482
Mo Os Au
2 1 1
Direct
0.0000 0.0000 0.4753 Mo
0.0000 0.0000 0.0247 Mo
0.5000 0.5000 0.2500 Os
0.5000 0.5000 0.7500 Au
```

(2)
A geometry-optimized MoOs2Au structure. Source: Alexandria via LeMat-Bulk, functional PBE.

## Properties
- total moment (μB per cell) = 0.00
- total DFT energy (no corrections) (eV for the cell shown) = -34.81
- space-group type = Cmmm (65)
- DFT formation energy (eV per formula unit) = 1.761
- excess energy over the best structure of this formula in the dataset (eV per atom) = 0.189

Structure (POSCAR):
```
MoOs2Au
1.0
4.7706 0.0107 0.0000
-1.4927 4.5311 0.0000
0.0000 0.0000 2.8444
Mo Os Au
1 2 1
Direct
0.0000 0.5000 0.5000 Mo
0.5000 0.5000 0.0000 Os
0.0000 0.0000 0.0000 Os
0.5000 0.0000 0.5000 Au
```

(3)
A geometry-optimized Mo2OsAu structure. Source: Alexandria via LeMat-Bulk, functional PBE.

## Properties
- total moment (μB per cell) = 0.00
- total DFT energy (no corrections) (eV for the cell shown) = -35.12
- space-group type = Cm (8)
- DFT formation energy (eV per formula unit) = 1.046
- excess energy over the best structure of this formula in the dataset (eV per atom) = 0.146

Structure (POSCAR):
```
Mo2OsAu
1.0
4.8755 -0.0003 0.0024
4.0420 2.7262 0.0024
0.8669 0.2650 4.7866
Mo Os Au
2 1 1
Direct
0.7552 0.7552 0.7310 Mo
0.0028 0.0028 0.9963 Mo
0.4936 0.4936 0.5293 Os
0.2485 0.2485 0.2434 Au
```

(4)
A geometry-optimized Mo2OsAu structure. Source: Alexandria via LeMat-Bulk, functional PBE.

## Properties
- total moment (μB per cell) = 0.00
- total DFT energy (no corrections) (eV for the cell shown) = -66.68
- space-group type = I-42d (122)
- DFT formation energy (eV per formula unit) = 2.830
- excess energy over the best structure of this formula in the dataset (eV per atom) = 0.592

Structure (POSCAR):
```
Mo2OsAu
1.0
-3.3836 0.3667 -6.4150
6.3229 -1.1004 -3.3979
1.0451 -3.0284 -4.8346
Au Os Mo
2 2 4
Direct
0.0000 0.0000 0.0000 Au
0.7500 0.2500 0.5000 Au
0.5000 0.5000 0.0000 Os
0.2500 0.7500 0.5000 Os
0.3750 0.4141 0.7500 Mo
0.5859 0.1250 0.2500 Mo
0.1641 0.6250 0.2500 Mo
0.8750 0.8359 0.7500 Mo
```

(5)
A geometry-optimized Mo2OsAu structure. Source: Alexandria via LeMat-Bulk, functional PBE.

## Properties
- total moment (μB per cell) = 0.00
- total DFT energy (no corrections) (eV for the cell shown) = -35.71
- space-group type = P4/mmm (123)
- DFT formation energy (eV per formula unit) = 0.462
- excess energy over the best structure of this formula in the dataset (eV per atom) = 0.000

Structure (POSCAR):
```
Mo2OsAu
1.0
2.7942 0.0000 0.0000
0.0000 2.7942 0.0000
0.0000 0.0000 8.1399
Mo Au Os
2 1 1
Direct
0.0000 0.0000 0.0199 Mo
0.0000 0.0000 0.4801 Mo
0.5000 0.5000 0.7500 Au
0.5000 0.5000 0.2500 Os
```

(6)
A geometry-optimized MoOs2Au structure. Source: Alexandria via LeMat-Bulk, functional PBE.

## Properties
- total moment (μB per cell) = 0.00
- total DFT energy (no corrections) (eV for the cell shown) = -35.42
- space-group type = Pmm2 (25)
- DFT formation energy (eV per formula unit) = 1.148
- excess energy over the best structure of this formula in the dataset (eV per atom) = 0.036

Structure (POSCAR):
```
MoOs2Au
1.0
2.7885 0.0000 0.0000
0.0000 3.9716 0.0000
0.0000 0.0000 5.6132
Au Mo Os
1 1 2
Direct
0.0000 0.0000 0.5000 Au
0.5000 0.5000 0.7698 Mo
0.0000 0.0000 0.0096 Os
0.5000 0.5000 0.2206 Os
```

(7)
A geometry-optimized Mo3OsAu structure. Source: Alexandria via LeMat-Bulk, functional PBE.

## Properties
- total moment (μB per cell) = 0.00
- total DFT energy (no corrections) (eV for the cell shown) = -39.16
- space-group type = Pm-3m (221)
- DFT formation energy (eV per formula unit) = 7.838
- excess energy over the best structure of this formula in the dataset (eV per atom) = 0.000

Structure (POSCAR):
```
Mo3OsAu
1.0
4.7191 0.0000 0.0000
0.0000 4.7191 0.0000
0.0000 0.0000 4.7191
Os Mo Au
1 3 1
Direct
0.0000 0.0000 0.0000 Os
0.0000 0.0000 0.5000 Mo
0.0000 0.5000 0.0000 Mo
0.5000 0.0000 0.0000 Mo
0.5000 0.5000 0.5000 Au
```

(8)
A geometry-optimized MoOs2Au structure. Source: Alexandria via LeMat-Bulk, functional PBE.

## Properties
- total moment (μB per cell) = 0.00
- total DFT energy (no corrections) (eV for the cell shown) = -35.14
- space-group type = I4/mmm (139)
- DFT formation energy (eV per formula unit) = 1.432
- excess energy over the best structure of this formula in the dataset (eV per atom) = 0.107

Structure (POSCAR):
```
MoOs2Au
1.0
-3.6256 -3.0516 0.7634
0.0214 -3.2806 -3.5040
3.4974 1.5362 2.9066
Au Os Mo
1 2 1
Direct
0.2500 0.7500 0.5000 Au
0.5000 0.5000 0.0000 Os
0.0000 0.0000 0.0000 Os
0.7500 0.2500 0.5000 Mo
```

(9)
A geometry-optimized MoOs2Au structure. Source: Alexandria via LeMat-Bulk, functional PBE.

## Properties
- total moment (μB per cell) = 0.00
- total DFT energy (no corrections) (eV for the cell shown) = -34.61
- space-group type = Cmmm (65)
- DFT formation energy (eV per formula unit) = 1.960
- excess energy over the best structure of this formula in the dataset (eV per atom) = 0.238

Structure (POSCAR):
```
MoOs2Au
1.0
-1.7304 -1.7544 -1.1677
2.6134 -0.1951 -0.7534
1.5674 -6.2401 7.0525
Os Au Mo
2 1 1
Direct
0.0000 0.0000 0.9834 Os
0.0000 0.0000 0.5166 Os
0.5000 0.5000 0.2500 Au
0.5000 0.5000 0.7500 Mo
```

(10)
A geometry-optimized MoOs2Au structure. Source: Alexandria via LeMat-Bulk, functional PBE.

## Properties
- total moment (μB per cell) = 0.00
- total DFT energy (no corrections) (eV for the cell shown) = -34.00
- space-group type = Pmmm (47)
- DFT formation energy (eV per formula unit) = 2.567
- excess energy over the best structure of this formula in the dataset (eV per atom) = 0.390

Structure (POSCAR):
```
MoOs2Au
1.0
2.8213 0.0000 0.0000
0.0000 4.7590 0.0000
0.0000 0.0000 4.6780
Os Mo Au
2 1 1
Direct
0.5000 0.5000 0.0000 Os
0.0000 0.0000 0.0000 Os
0.0000 0.5000 0.5000 Mo
0.5000 0.0000 0.5000 Au
```

(11)
A geometry-optimized Mo2OsPtAu structure. Source: Alexandria via LeMat-Bulk, functional PBE.

## Properties
- total moment (μB per cell) = 0.00
- total DFT energy (no corrections) (eV for the cell shown) = -29.66
- space-group type = P4/mmm (123)
- DFT formation energy (eV per formula unit) = 12.555

Structure (POSCAR):
```
Mo2OsPtAu
1.0
-3.4847 -2.0143 2.5167
0.5292 -4.0497 -2.5087
3.1807 -1.5460 3.1666
Au Mo Pt Os
1 2 1 1
Direct
0.0000 0.0000 0.0000 Au
0.0000 0.0000 0.5000 Mo
0.5000 0.0000 0.0000 Mo
0.5000 0.5000 0.5000 Pt
0.0000 0.5000 0.0000 Os
```

(12)
A geometry-optimized TiMoOs2Au structure. Source: Alexandria via LeMat-Bulk, functional PBE.

## Properties
- total moment (μB per cell) = 1.19
- total DFT energy (no corrections) (eV for the cell shown) = -31.95
- space-group type = P4/mmm (123)
- DFT formation energy (eV per formula unit) = 12.510

Structure (POSCAR):
```
TiMoOs2Au
1.0
-2.2991 -0.8156 -4.1740
0.3336 -4.6515 0.7251
-4.2392 0.0582 2.3236
Os Mo Ti Au
2 1 1 1
Direct
0.0000 0.0000 0.5000 Os
0.5000 0.0000 0.0000 Os
0.0000 0.5000 0.0000 Mo
0.5000 0.5000 0.5000 Ti
0.0000 0.0000 0.0000 Au
```